## Cd3As (PBE-GGA)

Data for an optimized crystal structure of Cd3As.

Calculated values
Space group   I4/mmm, No. 139
Volume   88.3 Å³/f.u.
E above lowest polymorph   30 kJ/mol of formula units
Formation energy from the elements   0.39 eV per formula unit

abc: 5.495 5.495 5.495
angles: 132.57 132.57 69.33
Fractional coordinates of all 4 atoms:
As (0.000, 0.000, 0.000)
Cd (0.750, 0.250, 0.500)
Cd (0.250, 0.750, 0.500)
Cd (0.500, 0.500, 0.000)


## CdAs2 (PBE-GGA)

Data for an optimized crystal structure of CdAs2.

Calculated values
Space group   P6_3/mmc, No. 194
Volume   62.6 Å³/f.u.
Formation energy from the elements   1.11 eV per formula unit

abc: 4.963 4.963 5.868
angles: 90.00 90.00 120.00
Fractional coordinates of all 6 atoms:
Cd (0.333, 0.667, 0.750)
Cd (0.667, 0.333, 0.250)
As (0.333, 0.667, 0.250)
As (0.667, 0.333, 0.750)
As (0.000, 0.000, 0.500)
As (0.000, 0.000, 0.000)


## CdAs2 (PBE-GGA)

Data for an optimized crystal structure of CdAs2.

Calculated values
Space group   Fd-3m, No. 227
Volume   65.2 Å³/f.u.
Formation energy from the elements   0.94 eV per formula unit

abc: 5.692 5.692 5.692
angles: 60.00 60.00 60.00
Fractional coordinates of all 6 atoms:
As (0.125, 0.125, 0.125)
As (0.125, 0.625, 0.125)
As (0.625, 0.125, 0.125)
As (0.125, 0.125, 0.625)
Cd (0.750, 0.750, 0.750)
Cd (0.500, 0.500, 0.500)


## Cd3As (PBE-GGA)

Data for an optimized crystal structure of Cd3As.

Calculated values
Space group   Cmcm, No. 63
Volume   101.8 Å³/f.u.
E above lowest polymorph   37 kJ/mol of formula units
Formation energy from the elements   0.46 eV per formula unit

abc: 6.922 6.922 4.703
angles: 90.00 90.00 115.41
Fractional coordinates of all 8 atoms:
As (0.542, 0.458, 0.750)
As (0.458, 0.542, 0.250)
Cd (0.910, 0.090, 0.750)
Cd (0.028, 0.387, 0.250)
Cd (0.387, 0.028, 0.750)
Cd (0.090, 0.910, 0.250)
Cd (0.613, 0.972, 0.250)
Cd (0.972, 0.613, 0.750)


## Cd2As (PBE-GGA)

Data for an optimized crystal structure of Cd2As.

Calculated values
Space group   I4/mcm, No. 140
Volume   70.5 Å³/f.u.
E above lowest polymorph   19 kJ/mol of formula units
Formation energy from the elements   0.20 eV per formula unit

abc: 5.760 5.760 5.760
angles: 116.77 116.77 95.69
Fractional coordinates of all 6 atoms:
As (0.250, 0.250, 0.000)
As (0.750, 0.750, 0.000)
Cd (0.184, 0.316, 0.500)
Cd (0.816, 0.684, 0.500)
Cd (0.684, 0.184, 0.868)
Cd (0.316, 0.816, 0.132)


## CdAs2 (PBE-GGA)

Data for an optimized crystal structure of CdAs2.

Calculated values
Space group   C2/m, No. 12
Volume   73.3 Å³/f.u.
Formation energy from the elements   0.08 eV per formula unit

abc: 4.609 4.609 9.169
angles: 85.33 85.33 49.06
Fractional coordinates of all 6 atoms:
As (0.074, 0.074, 0.750)
As (0.926, 0.926, 0.250)
As (0.631, 0.631, 0.924)
As (0.369, 0.369, 0.076)
Cd (0.364, 0.364, 0.601)
Cd (0.636, 0.636, 0.399)